[1]
A plane-wave DFT calculation with PBE was carried out for crystalline TeMo2Ru at its relaxed geometry.

**SG**: Immm
**ΔE_f (raw)**: 32 kJ per mole of atoms
**Spin magnetization**: 0.0 μB/f.u.
**Crystal system**: orthorhombic

a = 3.320 Å, b = 4.383 Å, c = 9.081 Å
α = 90.00°, β = 90.00°, γ = 90.00°
Atoms (fractional coordinates):
Te 0.000 0.000 0.000
Te 0.500 0.500 0.500
Mo 0.000 0.500 0.260
Mo 0.000 0.500 0.740
Mo 0.500 0.000 0.240
Mo 0.500 0.000 0.760
Ru 0.000 0.000 0.500
Ru 0.500 0.500 0.000

***

[2]
A plane-wave DFT calculation with PBE was carried out for crystalline Cs2UCo2Se6 at its relaxed geometry.

**SG**: C2/m
**ΔE_f (raw)**: -66 kJ per mole of atoms
**Spin magnetization**: 5.4 μB/f.u.
**Crystal system**: monoclinic

a = 7.644 Å, b = 7.644 Å, c = 7.964 Å
α = 118.74°, β = 118.74°, γ = 60.01°
Atoms (fractional coordinates):
Cs 0.241 0.241 0.223
Cs 0.759 0.759 0.777
U 0.000 0.000 0.500
Co 0.443 0.443 0.827
Co 0.557 0.557 0.173
Se 0.245 0.245 0.736
Se 0.245 0.748 0.737
Se 0.252 0.755 0.263
Se 0.748 0.245 0.737
Se 0.755 0.252 0.263
Se 0.755 0.755 0.264